1.
Below is a geometry-optimized Fe5Pt4Au structure, with properties calculated at the GGA-PBE level.

calculated total energy: -7.14 eV per atom
space-group type: No. 123
DOS(E_F): 5.6 states/eV/f.u.

Cell lengths 2.740, 2.740, 19.020 Å; angles 90.00, 90.00, 90.00 degrees
Site moments in Bohr magnetons follow the coordinates.
Positions (direct):
Fe: 0.500 0.500 0.106  -2.93
Fe: 0.500 0.500 0.303  -2.96
Fe: 0.500 0.500 0.500  -2.96
Fe: 0.500 0.500 0.697  -2.96
Fe: 0.500 0.500 0.894  -2.93
Pt: 0.000 0.000 0.204  -0.35
Pt: 0.000 0.000 0.401  -0.33
Pt: 0.000 0.000 0.599  -0.33
Pt: 0.000 0.000 0.796  -0.35
Au: 0.000 0.000 0.000  -0.06


2.
Below is a geometry-optimized CeNdErSc structure, with properties calculated at the GGA-PBE level.

calculated total energy: -5.26 eV per atom
space-group type: No. 216
DOS(E_F): 8.6 states/eV/f.u.

Cell lengths 5.557, 5.557, 5.557 Å; angles 60.00, 60.00, 60.00 degrees
Site moments in Bohr magnetons follow the coordinates.
Positions (direct):
Sc: 0.750 0.750 0.750  -0.01
Nd: 0.500 0.500 0.500  -0.02
Ce: 0.000 0.000 0.000  0.51
Er: 0.250 0.250 0.250  0.00


3.
Below is a geometry-optimized Pr2NdTh3Sb6 structure, with properties calculated at the GGA-PBE level.

calculated total energy: -6.17 eV per atom
formation energy without anion corrections: -1.064 eV per atom
space-group type: No. 12
DOS(E_F): 6.2 states/eV/f.u.

Cell lengths 4.527, 9.043, 10.128 Å; angles 102.96, 102.92, 90.00 degrees
Positions (direct):
Pr: 0.833 0.667 0.667
Pr: 0.167 0.333 0.333
Nd: 0.500 0.000 0.000
Th: 0.500 0.500 0.000
Th: 0.833 0.167 0.666
Th: 0.167 0.833 0.334
Sb: 0.333 0.919 0.666
Sb: 0.666 0.585 0.332
Sb: 0.667 0.081 0.334
Sb: 0.999 0.250 0.998
Sb: 0.001 0.750 0.002
Sb: 0.334 0.415 0.668


4.
Below is a geometry-optimized YUTc3 structure, with properties calculated at the GGA-PBE level.

calculated total energy: -9.87 eV per atom
space-group type: No. 11
DOS(E_F): 4.1 states/eV/f.u.

Cell lengths 5.477, 5.752, 6.355 Å; angles 90.00, 104.68, 90.00 degrees
Positions (direct):
Y: 0.664 0.250 0.122
Y: 0.336 0.750 0.878
U: 0.170 0.250 0.605
U: 0.830 0.750 0.395
Tc: 0.283 0.997 0.339
Tc: 0.717 0.003 0.661
Tc: 0.717 0.497 0.661
Tc: 0.283 0.503 0.339
Tc: 0.100 0.250 0.956
Tc: 0.900 0.750 0.044


5.
Below is a geometry-optimized InFeAg2 structure, with properties calculated at the GGA-PBE level.

calculated total energy: -3.97 eV per atom
space-group type: No. 139
DOS(E_F): 3.4 states/eV/f.u.

Cell lengths 5.108, 5.108, 5.108 Å; angles 132.90, 132.90, 68.81 degrees
Site moments in Bohr magnetons follow the coordinates.
Positions (direct):
Ag: 0.000 0.000 0.000  0.01
Ag: 0.500 0.500 0.000  0.01
Fe: 0.250 0.750 0.500  2.81
In: 0.750 0.250 0.500  -0.04


6.
Below is a geometry-optimized TbPr3Rh3 structure, with properties calculated at the GGA-PBE level.

calculated total energy: -6.41 eV per atom
space-group type: No. 12
DOS(E_F): 4.8 states/eV/f.u.

Cell lengths 7.063, 7.063, 7.209 Å; angles 90.43, 90.43, 96.71 degrees
Positions (direct):
Tb: 0.761 0.761 0.873
Tb: 0.239 0.239 0.127
Pr: 0.668 0.668 0.375
Pr: 0.180 0.820 0.500
Pr: 0.820 0.180 0.500
Pr: 0.252 0.748 0.000
Pr: 0.748 0.252 0.000
Pr: 0.332 0.332 0.625
Rh: 0.936 0.936 0.194
Rh: 0.989 0.501 0.725
Rh: 0.501 0.989 0.725
Rh: 0.011 0.499 0.275
Rh: 0.499 0.011 0.275
Rh: 0.064 0.064 0.806


7.
Below is a geometry-optimized Ac3Zn structure, with properties calculated at the GGA-PBE level.

calculated total energy: -3.51 eV per atom
space-group type: No. 123
DOS(E_F): 5.6 states/eV/f.u.

Cell lengths 3.955, 3.955, 9.623 Å; angles 90.00, 90.00, 90.00 degrees
Positions (direct):
Ac: 0.000 0.000 0.500
Ac: 0.500 0.500 0.201
Ac: 0.500 0.500 0.799
Zn: 0.000 0.000 0.000


8.
Below is a geometry-optimized EuHo2Se4 structure, with properties calculated at the GGA-PBE level.

calculated total energy: -6.70 eV per atom
formation energy without anion corrections: -1.933 eV per atom
space-group type: No. 62
DOS(E_F): 20.2 states/eV/f.u.

Cell lengths 4.116, 12.513, 14.877 Å; angles 90.00, 90.00, 90.00 degrees
Site moments in Bohr magnetons follow the coordinates.
Positions (direct):
Eu: 0.750 0.241 0.666  6.84
Eu: 0.750 0.741 0.834  6.84
Eu: 0.250 0.759 0.334  6.84
Eu: 0.250 0.259 0.166  6.84
Ho: 0.750 0.584 0.097  0.01
Ho: 0.750 0.084 0.403  0.01
Ho: 0.250 0.416 0.903  0.01
Ho: 0.250 0.916 0.597  0.01
Ho: 0.750 0.563 0.611  0.01
Ho: 0.750 0.063 0.889  0.01
Ho: 0.250 0.437 0.389  0.01
Ho: 0.250 0.937 0.111  0.01
Se: 0.750 0.795 0.176  -0.02
Se: 0.750 0.295 0.324  -0.02
Se: 0.250 0.205 0.824  -0.02
Se: 0.250 0.705 0.676  -0.02
Se: 0.750 0.869 0.468  -0.01
Se: 0.750 0.369 0.032  -0.01
Se: 0.250 0.131 0.532  -0.01
Se: 0.250 0.631 0.968  -0.01
Se: 0.750 0.472 0.785  -0.01
Se: 0.750 0.972 0.715  -0.01
Se: 0.250 0.528 0.215  -0.01
Se: 0.250 0.028 0.285  -0.01
Se: 0.750 0.592 0.422  -0.01
Se: 0.750 0.092 0.078  -0.01
Se: 0.250 0.408 0.578  -0.01
Se: 0.250 0.908 0.922  -0.01


9.
Below is a geometry-optimized BeCdW structure, with properties calculated at the GGA-PBE level.

calculated total energy: -4.29 eV per atom
space-group type: No. 216
DOS(E_F): 3.2 states/eV/f.u.

Cell lengths 4.318, 4.318, 4.318 Å; angles 60.00, 60.00, 60.00 degrees
Positions (direct):
Be: 0.000 0.000 0.000
W: 0.250 0.250 0.250
Cd: 0.500 0.500 0.500


10.
Below is a geometry-optimized FeP2Ir structure, with properties calculated at the GGA-PBE level.

calculated total energy: -7.05 eV per atom
space-group type: No. 123
DOS(E_F): 1.9 states/eV/f.u.

Cell lengths 2.903, 2.903, 5.902 Å; angles 90.00, 90.00, 90.00 degrees
Site moments in Bohr magnetons follow the coordinates.
Positions (direct):
Fe: 0.500 0.500 0.250  1.50
Ir: 0.500 0.500 0.750  0.22
P: 0.000 0.000 0.023  0.00
P: 0.000 0.000 0.477  0.00


11.
Below is a geometry-optimized YAl4Rh structure, with properties calculated at the GGA-PBE level.

calculated total energy: -5.06 eV per atom
space-group type: No. 216
DOS(E_F): 3.7 states/eV/f.u.

Cell lengths 5.320, 5.320, 5.320 Å; angles 60.00, 60.00, 60.00 degrees
Positions (direct):
Y: 0.000 0.000 0.000
Al: 0.878 0.374 0.374
Al: 0.374 0.374 0.878
Al: 0.374 0.878 0.374
Al: 0.374 0.374 0.374
Rh: 0.750 0.750 0.750


12.
Below is a geometry-optimized InSi2Sb structure, with properties calculated at the GGA-PBE level.

calculated total energy: -4.00 eV per atom
formation energy without anion corrections: 0.430 eV per atom
space-group type: No. 10
DOS(E_F): 1.9 states/eV/f.u.

Cell lengths 3.964, 3.008, 7.447 Å; angles 92.44, 90.00, 90.00 degrees
Positions (direct):
In: 0.500 0.250 0.250
Sb: 0.500 0.750 0.750
Si: 0.000 0.771 0.017
Si: 0.000 0.729 0.483